Pm2GeSb PBE relaxed; uncorrected formation energy = -0.753 eV per atom; crystal system = tetragonal; space group = P4/mmm, No. 123; E = -5.313 eV per atom
1.0
4.0139 0.0000 0.0000
0.0000 4.0139 0.0000
0.0000 0.0000 6.5674
Pm Ge Sb
2 1 1
Direct
0.0000 0.0000 0.2412
0.0000 0.0000 0.7588
0.5000 0.5000 0.0000
0.5000 0.5000 0.5000